[1]
The following is a GGA-PBEsol calculation of a relaxed Rb3Br2Cl crystal, from Alexandria.

Computed properties:
The density of states at the Fermi level is 0.0 states/eV/cell. Its spin magnetization is 0.00 μB/f.u. As for the energy relative to the elements, uncorrected: -1791 meV/atom. The crystal system is tetragonal.

abc: 4.7722 4.7722 20.2280
angles: 90.00 90.00 90.00
With the nearest neighbours (Å) after each atom.
Space group I4/mmm (No. 139)
Unique sites:
1 Rb 0.0000 0.0000 0.0000  4 Cl 3.37, 2 Br 3.39
2 Rb 0.0000 0.0000 0.3374  1 Cl 3.29, 5 Br 3.38-3.44
3 Br 0.0000 0.0000 0.1675  6 Rb 3.38-3.44
4 Cl 0.0000 0.0000 0.5000  6 Rb 3.29-3.37

***

[2]
The following is a GGA-PBEsol calculation of a relaxed VBiO4 crystal, from Alexandria.

Computed properties:
The density of states at the Fermi level is 0.0 states/eV/cell. Its spin magnetization is 0.00 μB/f.u. As for the energy relative to the elements, uncorrected: -1985 meV/atom. The crystal system is tetragonal.

abc: 5.1067 5.1067 11.5456
angles: 90.00 90.00 90.00
With the nearest neighbours (Å) after each atom.
Space group I4_1/a (No. 88, origin choice 2)
Unique sites:
1 V 0.0000 0.2500 0.1250  4 O 1.73
2 Bi 0.0000 0.2500 0.6250  8 O 2.42-2.45
3 O 0.1404 0.9999 0.7955  1 V 1.73

***

[3]
The following is a GGA-PBEsol calculation of a relaxed FeSn3Pd crystal, from Alexandria.

Computed properties:
The density of states at the Fermi level is 2.0 states/eV/cell. Its spin magnetization is 0.00 μB/f.u. For the energy of formation, the calculation gives 0.22 eV/atom. The crystal system is cubic.

abc: 4.7725 4.7725 4.7725
angles: 90.00 90.00 90.00
With the nearest neighbours (Å) after each atom.
Space group Pm-3m (No. 221)
Unique sites:
1 Fe 0.0000 0.0000 0.0000  6 Sn 2.39
2 Sn 0.0000 0.0000 0.5000  2 Fe 2.39
3 Pd 0.5000 0.5000 0.5000  12 Sn 3.37

***

[4]
The following is a GGA-PBEsol calculation of a relaxed YMoAs crystal, from Alexandria.

Computed properties:
The density of states at the Fermi level is 2.6 states/eV/cell. Its spin magnetization is 0.00 μB/f.u. For the energy of formation, the calculation gives -0.30 eV/atom. The crystal system is hexagonal.

abc: 4.2830 4.2830 3.7915
angles: 90.00 90.00 120.00
With the nearest neighbours (Å) after each atom.
Space group P-6m2 (No. 187)
Unique sites:
1 Y 0.0000 0.0000 0.0000  6 As 3.12, 6 Mo 3.12
2 Mo 0.6667 0.3333 0.5000  3 As 2.47
3 As 0.3333 0.6667 0.5000  3 Mo 2.47

***

[5]
The following is a GGA-PBEsol calculation of a relaxed ZrMoPb3 crystal, from Alexandria.

Computed properties:
The density of states at the Fermi level is 5.6 states/eV/cell. Its spin magnetization is 2.14 μB/f.u. For the energy of formation, the calculation gives 1.04 eV/atom. The crystal system is cubic.

abc: 5.2651 5.2651 5.2651
angles: 90.00 90.00 90.00
With the nearest neighbours (Å) after each atom.
Space group Pm-3m (No. 221)
Unique sites:
1 Zr 0.0000 0.0000 0.0000  12 Pb 3.72
2 Mo 0.5000 0.5000 0.5000  6 Pb 2.63
3 Pb 0.0000 0.5000 0.5000  2 Mo 2.63

***

[6]
The following is a GGA-PBEsol calculation of a relaxed Bi2PdO4 crystal, from Alexandria.

Computed properties:
The energy above the most stable polymorph in this dataset comes out at 0.081 eV per atom. The density of states at the Fermi level is 5.4 states/eV/cell. Its spin magnetization is 0.00 μB/f.u. As for the energy relative to the elements, uncorrected: -954 meV/atom. The crystal system is tetragonal.

abc: 8.9406 8.9406 5.5111
angles: 90.00 90.00 90.00
With the nearest neighbours (Å) after each atom.
Space group I4cm (No. 108)
Unique sites:
1 Bi 0.1697 0.3303 0.0000  4 O 2.23-2.25
2 Pd 0.0000 0.0000 0.1876  4 O 2.00
3 O 0.1050 0.1970 0.6743  1 Pd 2.00, 1 Bi 2.23

***

Q: Number 2 is which compound?
A: VBiO4